[1]
PrBe2SbO8 PBE optimized geometry; final energy = -74.720 eV per cell; formation energy (no corrections) = -1.558 eV/atom; total moment = 4.003 μB/f.u.; SG = P-3 (147)
1.0
4.7637 0.0000 0.0000
-2.3819 4.1255 0.0000
0.0000 0.0000 7.0926
Pr Be Sb O
1 2 1 8
direct
0.0000 0.0000 0.0000
0.3333 0.6667 0.7460
0.6667 0.3333 0.2540
0.0000 0.0000 0.5000
0.0330 0.3270 0.6866
0.2941 0.9670 0.6866
0.3270 0.2941 0.3134
0.3333 0.6667 0.9771
0.6667 0.3333 0.0229
0.6730 0.7059 0.6866
0.7059 0.0330 0.3134
0.9670 0.6730 0.3134



[2]
Sr3PbN PBE optimized geometry; final energy = -39.344 eV per cell; formation energy (no corrections) = -0.519 eV/atom; total moment = 0.060 μB/f.u.; SG = P-1 (2)
1.0
6.0405 0.0000 0.0000
-0.0023 7.6048 0.0000
-0.0401 -3.7239 6.9281
Sr Pb N
6 2 2
direct
0.2231 0.3170 0.1039
0.2270 0.8808 0.1966
0.2477 0.7641 0.6233
0.7523 0.2359 0.3767
0.7730 0.1192 0.8034
0.7769 0.6830 0.8961
0.2579 0.3227 0.6646
0.7421 0.6773 0.3354
0.0673 0.9487 0.9212
0.9327 0.0513 0.0788



[3]
Ce2ZnGe4Pd3 PBE optimized geometry; final energy = -54.322 eV per cell; formation energy = -0.71 eV/atom; total moment = 0.986 μB/f.u.; SG = P-4m2 (115)
1.0
4.2663 0.0000 0.0000
0.0000 4.2663 0.0000
0.0000 0.0000 10.5220
Ce Zn Ge Pd
2 1 4 3
direct
0.0000 0.5000 0.2487
0.5000 0.0000 0.7513
0.0000 0.0000 0.5000
0.0000 0.0000 0.0000
0.0000 0.5000 0.6371
0.5000 0.0000 0.3629
0.5000 0.5000 0.0000
0.0000 0.5000 0.8702
0.5000 0.0000 0.1298
0.5000 0.5000 0.5000



[4]
BeOsAu2 PBE optimized geometry; final energy = -19.650 eV per cell; formation energy = 0.47 eV/atom; total moment = 0.001 μB/f.u.; SG = P2/m (10)
1.0
2.7978 0.0000 0.0000
0.0000 4.0591 0.0000
-1.2718 0.0000 5.2629
Be Os Au
1 1 2
direct
0.0000 0.0000 0.0000
0.0000 0.0000 0.5000
0.3698 0.5000 0.2334
0.6302 0.5000 0.7666



[5]
Li5Hg2Pb2Au PBE optimized geometry; final energy = -47.771 eV per cell; formation energy = -0.30 eV/atom; total moment = 0.000 μB/f.u.; SG = P4/mbm (127)
1.0
11.2889 0.0000 0.0000
0.0000 11.2889 0.0000
0.0000 0.0000 3.2342
Li Hg Pb Au
10 4 4 2
direct
0.0000 0.5000 0.0000
0.0429 0.1841 0.0000
0.1841 0.9571 0.0000
0.3159 0.4571 0.0000
0.4571 0.6841 0.0000
0.5000 0.0000 0.0000
0.5429 0.3159 0.0000
0.6841 0.5429 0.0000
0.8159 0.0429 0.0000
0.9571 0.8159 0.0000
0.1348 0.3652 0.5000
0.3652 0.8652 0.5000
0.6348 0.1348 0.5000
0.8652 0.6348 0.5000
0.1701 0.6701 0.5000
0.3299 0.1701 0.5000
0.6701 0.8299 0.5000
0.8299 0.3299 0.5000
0.0000 0.0000 0.5000
0.5000 0.5000 0.5000



[6]
Pr6NiS5 PBE optimized geometry; final energy = -75.818 eV per cell; formation energy (no corrections) = -1.727 eV/atom; total moment = 0.000 μB/f.u.; SG = C2/m (12)
1.0
3.5695 -6.1626 0.0000
3.5695 6.1626 0.0000
-2.3825 0.0000 6.7168
Pr Ni S
6 1 5
direct
0.0809 0.4109 0.2463
0.2474 0.2474 0.7516
0.4109 0.0809 0.2463
0.5891 0.9191 0.7537
0.7526 0.7526 0.2484
0.9191 0.5891 0.7537
0.0000 0.0000 0.0000
0.1702 0.8298 0.5000
0.3342 0.6658 0.0000
0.5000 0.5000 0.5000
0.6658 0.3342 0.0000
0.8298 0.1702 0.5000



[7]
FeIr2 PBE optimized geometry; final energy = -78.767 eV per cell; formation energy = -0.02 eV/atom; total moment = 1.070 μB/f.u.; SG = P-62m (189)
1.0
7.2235 0.0000 0.0000
-3.6117 6.2557 0.0000
0.0000 0.0000 2.7132
Fe Ir
3 6
direct
0.0000 0.0000 0.0000
0.3333 0.6667 0.5000
0.6667 0.3333 0.5000
0.0000 0.2978 0.5000
0.0000 0.6360 0.0000
0.2978 0.0000 0.5000
0.3640 0.3640 0.0000
0.6360 0.0000 0.0000
0.7022 0.7022 0.5000



[8]
Pm4GeAs2P PBE optimized geometry; final energy = -48.745 eV per cell; formation energy = -1.30 eV/atom; total moment = 0.000 μB/f.u.; SG = P2/m (10)
1.0
7.2884 0.0000 0.0000
0.0000 4.1917 0.0000
-2.4096 0.0000 6.9336
Pm Ge As P
4 1 2 1
direct
0.2457 0.0000 0.2438
0.2505 0.5000 0.7557
0.7495 0.5000 0.2443
0.7543 0.0000 0.7562
0.0000 0.0000 0.5000
0.5000 0.0000 0.0000
0.5000 0.5000 0.5000
0.0000 0.5000 0.0000



[9]
CeCuPF PBE optimized geometry; final energy = -49.853 eV per cell; formation energy (no corrections) = -1.904 eV/atom; total moment = 0.938 μB/f.u.; SG = P4/nmm (129)
1.0
3.8640 0.0000 0.0000
0.0000 3.8640 0.0000
0.0000 0.0000 8.5375
Ce Cu P F
2 2 2 2
direct
0.2500 0.2500 0.1943
0.7500 0.7500 0.8057
0.2500 0.7500 0.5000
0.7500 0.2500 0.5000
0.2500 0.2500 0.6679
0.7500 0.7500 0.3321
0.2500 0.7500 0.0000
0.7500 0.2500 0.0000



[10]
CaLa3 PBE optimized geometry; final energy = -48.912 eV per cell; formation energy = 0.12 eV/atom; total moment = 0.709 μB/f.u.; SG = R-3m (166)
1.0
12.0945 0.0000 0.0000
-6.0473 10.4742 0.0000
0.0000 0.0000 3.6388
Ca La
3 9
direct
0.0000 0.0000 0.0000
0.3333 0.6667 0.6667
0.6667 0.3333 0.3333
0.0000 0.5000 0.0000
0.1667 0.3333 0.3333
0.1667 0.8333 0.3333
0.3333 0.1667 0.6667
0.5000 0.0000 0.0000
0.5000 0.5000 0.0000
0.6667 0.8333 0.3333
0.8333 0.1667 0.6667
0.8333 0.6667 0.6667



[11]
Ce2ZrNi3H12 PBE optimized geometry; final energy = -83.205 eV per cell; total moment = 1.749 μB/f.u.; SG = R-3m (166)
1.0
3.0525 1.7624 4.7313
-3.0525 1.7624 4.7313
0.0000 -3.5248 4.7313
Ce Zr Ni H
2 1 3 12
direct
0.0960 0.0960 0.0960
0.9040 0.9040 0.9040
0.5000 0.5000 0.5000
0.0000 0.5000 0.5000
0.5000 0.0000 0.5000
0.5000 0.5000 0.0000
0.0777 0.6338 0.6338
0.2295 0.2295 0.6193
0.2295 0.6193 0.2295
0.3662 0.3662 0.9223
0.3662 0.9223 0.3662
0.3807 0.7705 0.7705
0.6193 0.2295 0.2295
0.6338 0.0777 0.6338
0.6338 0.6338 0.0777
0.7705 0.3807 0.7705
0.7705 0.7705 0.3807
0.9223 0.3662 0.3662



[12]
Sm2GaBi PBE optimized geometry; energy above the lowest structure with this stoichiometry = 11.8 kJ/mol of atoms; final energy = -37.394 eV per cell; formation energy = -0.59 eV/atom; total moment = 0.000 μB/f.u.; SG = C2/m (12)
1.0
6.2344 0.0000 0.0000
0.0000 5.0427 0.0000
-1.9865 0.0000 7.3906
Sm Ga Bi
4 2 2
direct
0.0238 0.0000 0.2662
0.4762 0.5000 0.7338
0.5238 0.5000 0.2662
0.9762 0.0000 0.7338
0.0000 0.5000 0.5000
0.5000 0.0000 0.5000
0.0000 0.5000 0.0000
0.5000 0.0000 0.0000



[13]
PuZr2Bi PBE optimized geometry; energy above the lowest structure with this stoichiometry = 6.5 kJ/mol of atoms; final energy = -35.607 eV per cell; formation energy = -0.07 eV/atom; total moment = 6.055 μB/f.u.; SG = P4/mmm (123)
1.0
3.7622 0.0000 0.0000
0.0000 3.7622 0.0000
0.0000 0.0000 6.8350
Pu Zr Bi
1 2 1
direct
0.0000 0.0000 0.0000
0.5000 0.5000 0.2549
0.5000 0.5000 0.7451
0.0000 0.0000 0.5000



[14]
LiTb2HoAu4 PBE optimized geometry; final energy = -35.144 eV per cell; formation energy = -0.79 eV/atom; total moment = 0.000 μB/f.u.; SG = R-3m (166)
1.0
2.5006 1.4437 8.1836
-2.5006 1.4437 8.1836
0.0000 -2.8874 8.1836
Li Tb Ho Au
1 2 1 4
direct
0.0000 0.0000 0.0000
0.2562 0.2562 0.2562
0.7438 0.7438 0.7438
0.5000 0.5000 0.5000
0.1296 0.1296 0.1296
0.3785 0.3785 0.3785
0.6215 0.6215 0.6215
0.8704 0.8704 0.8704



[15]
Nb3VSe PBE optimized geometry; energy above the lowest structure with this stoichiometry = 0.0 kJ/mol of atoms; final energy = -38.690 eV per cell; formation energy (no corrections) = 0.825 eV/atom; total moment = 1.353 μB/f.u.; SG = Pm-3m (221)
1.0
4.7360 0.0000 0.0000
0.0000 4.7360 0.0000
0.0000 0.0000 4.7360
Nb V Se
3 1 1
direct
0.0000 0.0000 0.5000
0.0000 0.5000 0.0000
0.5000 0.0000 0.0000
0.5000 0.5000 0.5000
0.0000 0.0000 0.0000



[16]
In7Ga2Pb3 PBE optimized geometry; final energy = -35.633 eV per cell; formation energy = 0.06 eV/atom; total moment = 0.000 μB/f.u.; SG = P2/m (10)
1.0
5.5970 0.0000 0.0000
0.0000 3.4481 0.0000
-0.2516 0.0000 17.0524
In Ga Pb
7 2 3
direct
0.0000 0.0000 0.0000
0.0907 0.5000 0.1692
0.2514 0.5000 0.5323
0.4207 0.0000 0.8310
0.5793 0.0000 0.1690
0.7486 0.5000 0.4677
0.9093 0.5000 0.8308
0.2523 0.5000 0.6967
0.7477 0.5000 0.3033
0.2430 0.0000 0.3502
0.5000 0.5000 0.0000
0.7570 0.0000 0.6498



[17]
SrHgGe3 PBE optimized geometry; energy above the lowest structure with this stoichiometry = 75.5 kJ/mol of atoms; final energy = -10.288 eV per cell; formation energy = 1.11 eV/atom; total moment = 1.006 μB/f.u.; SG = Pm-3m (221)
1.0
5.7794 0.0000 0.0000
0.0000 5.7794 0.0000
0.0000 0.0000 5.7794
Sr Hg Ge
1 1 3
direct
0.0000 0.0000 0.0000
0.5000 0.5000 0.5000
0.0000 0.0000 0.5000
0.0000 0.5000 0.0000
0.5000 0.0000 0.0000



[18]
CeNp2SbN2 PBE optimized geometry; final energy = -56.228 eV per cell; formation energy (no corrections) = -0.607 eV/atom; total moment = 8.997 μB/f.u.; SG = P4/mmm (123)
1.0
4.4505 0.0000 0.0000
0.0000 4.4505 0.0000
0.0000 0.0000 6.3619
Ce Np Sb N
1 2 1 2
direct
0.0000 0.0000 0.0000
0.5000 0.5000 0.2404
0.5000 0.5000 0.7596
0.0000 0.0000 0.5000
0.0000 0.5000 0.0000
0.5000 0.0000 0.0000



[19]
CuHg3Br PBE optimized geometry; energy above the lowest structure with this stoichiometry = 0.0 kJ/mol of atoms; final energy = -6.785 eV per cell; formation energy (no corrections) = -0.022 eV/atom; total moment = 0.000 μB/f.u.; SG = Pm-3m (221)
1.0
5.1883 0.0000 0.0000
0.0000 5.1883 0.0000
0.0000 0.0000 5.1883
Cu Hg Br
1 3 1
direct
0.0000 0.0000 0.0000
0.0000 0.0000 0.5000
0.0000 0.5000 0.0000
0.5000 0.0000 0.0000
0.5000 0.5000 0.5000



[20]
Pd2WAu PBE optimized geometry; energy above the lowest structure with this stoichiometry = 0.0 kJ/mol of atoms; final energy = -26.912 eV per cell; formation energy = -0.07 eV/atom; total moment = 0.000 μB/f.u.; SG = P4/mmm (123)
1.0
2.8196 0.0000 0.0000
0.0000 2.8196 0.0000
0.0000 0.0000 8.0821
Pd W Au
2 1 1
direct
0.0000 0.0000 0.2345
0.0000 0.0000 0.7655
0.5000 0.5000 0.0000
0.5000 0.5000 0.5000



[21]
B2PdW4 PBE optimized geometry; final energy = -117.408 eV per cell; formation energy = 1.67 eV/atom; total moment = 0.000 μB/f.u.; SG = I4/mmm (139)
1.0
4.6535 0.0000 0.0000
0.0000 4.6535 0.0000
0.0000 0.0000 10.7582
B Pd W
4 2 8
direct
0.0000 0.0000 0.0717
0.0000 0.0000 0.9283
0.5000 0.5000 0.4283
0.5000 0.5000 0.5717
0.0000 0.0000 0.5000
0.5000 0.5000 0.0000
0.0000 0.0000 0.2564
0.0000 0.0000 0.7436
0.0000 0.5000 0.0000
0.0000 0.5000 0.5000
0.5000 0.0000 0.0000
0.5000 0.0000 0.5000
0.5000 0.5000 0.2436
0.5000 0.5000 0.7564



[22]
K2CrRu PBE optimized geometry; energy above the lowest structure with this stoichiometry = 0.0 kJ/mol of atoms; final energy = -18.353 eV per cell; formation energy = 0.69 eV/atom; total moment = 2.786 μB/f.u.; SG = P4mm (99)
1.0
3.3388 0.0000 0.0000
0.0000 3.3388 0.0000
0.0000 0.0000 10.3948
K Cr Ru
2 1 1
direct
0.0000 0.0000 0.0000
0.5000 0.5000 0.4087
0.5000 0.5000 0.7378
0.0000 0.0000 0.6624



[23]
Be2HgAs PBE optimized geometry; final energy = -10.921 eV per cell; formation energy = 0.37 eV/atom; total moment = 0.000 μB/f.u.; SG = P2/m (10)
1.0
3.4517 0.0000 0.0000
0.0000 2.9564 0.0000
-0.3499 0.0000 6.3196
Be Hg As
2 1 1
direct
0.0193 0.0000 0.1733
0.9807 0.0000 0.8267
0.0000 0.5000 0.5000
0.5000 0.5000 0.0000



[24]
TaTl2Fe PBE optimized geometry; energy above the lowest structure with this stoichiometry = 34.4 kJ/mol of atoms; final energy = -44.369 eV per cell; formation energy = 0.72 eV/atom; total moment = 2.764 μB/f.u.; SG = C2/m (12)
1.0
6.1104 0.0000 0.0000
0.0000 9.6354 0.0000
-1.2574 0.0000 2.7438
Ta Tl Fe
2 4 2
direct
0.0000 0.0000 0.0000
0.5000 0.5000 0.0000
0.2500 0.2500 0.5000
0.2500 0.7500 0.5000
0.7500 0.2500 0.5000
0.7500 0.7500 0.5000
0.0000 0.5000 0.0000
0.5000 0.0000 0.0000



[25]
CdGe2PPb PBE optimized geometry; final energy = -13.183 eV per cell; formation energy = 1.22 eV/atom; total moment = 0.000 μB/f.u.; SG = P4/mmm (123)
1.0
5.4027 0.0000 0.0000
0.0000 5.4027 0.0000
0.0000 0.0000 5.4122
Cd Ge P Pb
1 2 1 1
direct
0.0000 0.0000 0.0000
0.0000 0.5000 0.5000
0.5000 0.0000 0.5000
0.5000 0.5000 0.0000
0.0000 0.0000 0.5000